# CeErTm2 | Alexandria via LeMat-Bulk | GGA-PBE | relaxed
# **Total moment**: 0.87 μB/cell
# **Calculated total energy**: -4.808 eV/atom
# **Formation energy from the elements**: 5 kJ/mol of atoms
# **Crystal system**: hexagonal
# **DOS(E_F)**: 8.89 states/eV/cell
data_CeErTm2
_chemical_formula_sum 'Ce1 Er1 Tm2'
_symmetry_space_group_name_H-M 'P -6 m 2'
_symmetry_Int_Tables_number 187
_symmetry_space_group_name_Hall 'P -6 2'
_cell_length_a 3.5320
_cell_length_b 3.5320
_cell_length_c 11.2680
_cell_angle_alpha 90.00
_cell_angle_beta 90.00
_cell_angle_gamma 120.00
loop_
_atom_site_label
_atom_site_type_symbol
_atom_site_fract_x
_atom_site_fract_y
_atom_site_fract_z
Ce1 Ce 0.0000 0.0000 0.0000
Er1 Er 0.0000 0.0000 0.5000
Tm1 Tm 0.3333 0.6667 0.2522